No. 1
## Tb3ScAg4 (GGA-PBE)

Data for crystalline Tb3ScAg4 at its relaxed geometry.

## Properties
ΔH_f (0 K): -296 meV per atom
theoretical density: 8.493 g/cm3
D(E_F): 0.737 states/eV per atom
magnetic moment: 0.0 μB/cell

Cell lengths 3.5957, 3.5957, 14.4141 Å; angles 90.00, 90.00, 90.00 degrees
Atoms (fractional coordinates):
1 Tb 0.0000 0.0000 0.0000
2 Tb 0.0000 0.0000 0.2579
3 Tb 0.0000 0.0000 0.7421
4 Sc 0.0000 0.0000 0.5000
5 Ag 0.5000 0.5000 0.1283
6 Ag 0.5000 0.5000 0.3905
7 Ag 0.5000 0.5000 0.6095
8 Ag 0.5000 0.5000 0.8717

=====

No. 2
## TbSc3Ag (GGA-PBE)

Data for crystalline TbSc3Ag at its relaxed geometry.

## Properties
ΔH_f (0 K): -5 meV per atom
theoretical density: 5.317 g/cm3
D(E_F): 1.641 states/eV per atom
magnetic moment: 0.0 μB/cell

Cell lengths 6.4301, 9.1436, 8.5348 Å; angles 90.00, 90.00, 90.00 degrees
Atoms (fractional coordinates):
1 Tb 0.2200 0.2500 0.1464
2 Tb 0.2800 0.7500 0.6464
3 Tb 0.7200 0.2500 0.3536
4 Tb 0.7800 0.7500 0.8536
5 Sc 0.1088 0.0504 0.8314
6 Sc 0.1088 0.4496 0.8314
7 Sc 0.2413 0.7500 0.0259
8 Sc 0.2587 0.2500 0.5259
9 Sc 0.3912 0.5504 0.3314
10 Sc 0.3912 0.9496 0.3314
11 Sc 0.6088 0.0504 0.6686
12 Sc 0.6088 0.4496 0.6686
13 Sc 0.7413 0.7500 0.4741
14 Sc 0.7587 0.2500 0.9741
15 Sc 0.8912 0.5504 0.1686
16 Sc 0.8912 0.9496 0.1686
17 Ag 0.0000 0.0000 0.5000
18 Ag 0.0000 0.5000 0.5000
19 Ag 0.5000 0.0000 0.0000
20 Ag 0.5000 0.5000 0.0000

=====

Which of these has the highest D(E_F)? TbSc3Ag

=====

Number 1 is which compound? Tb3ScAg4

=====

What did the second record say?
## TbSc3Ag (GGA-PBE)

Data for crystalline TbSc3Ag at its relaxed geometry.

## Properties
ΔH_f (0 K): -5 meV per atom
theoretical density: 5.317 g/cm3
D(E_F): 1.641 states/eV per atom
magnetic moment: 0.0 μB/cell

Cell lengths 6.4301, 9.1436, 8.5348 Å; angles 90.00, 90.00, 90.00 degrees
Atoms (fractional coordinates):
1 Tb 0.2200 0.2500 0.1464
2 Tb 0.2800 0.7500 0.6464
3 Tb 0.7200 0.2500 0.3536
4 Tb 0.7800 0.7500 0.8536
5 Sc 0.1088 0.0504 0.8314
6 Sc 0.1088 0.4496 0.8314
7 Sc 0.2413 0.7500 0.0259
8 Sc 0.2587 0.2500 0.5259
9 Sc 0.3912 0.5504 0.3314
10 Sc 0.3912 0.9496 0.3314
11 Sc 0.6088 0.0504 0.6686
12 Sc 0.6088 0.4496 0.6686
13 Sc 0.7413 0.7500 0.4741
14 Sc 0.7587 0.2500 0.9741
15 Sc 0.8912 0.5504 0.1686
16 Sc 0.8912 0.9496 0.1686
17 Ag 0.0000 0.0000 0.5000
18 Ag 0.0000 0.5000 0.5000
19 Ag 0.5000 0.0000 0.0000
20 Ag 0.5000 0.5000 0.0000